SrLiAsPd | PBE | optimized geometry

a b c (Å): 4.961 4.961 4.961
angles (deg): 60.00 60.00 60.00
Element x y z (fractional)
As: 0.000 0.000 0.000
Li: 0.750 0.750 0.750
Pd: 0.500 0.500 0.500
Sr: 0.250 0.250 0.250

## Properties
VASP energy   -3.8375 eV/atom
E above lowest polymorph   127 meV per atom